This record from Alexandria via LeMat-Bulk describes a geometry-optimized MnHF structure. The functional is GGA+U.

Lattice parameters (Å, degrees): 5.1316 5.1316 5.1316 90.00 90.00 90.00
With the nearest neighbours (Å) after each atom.
Fractional coordinates of all 12 atoms:
Mn (0.0000, 0.0000, 0.0000)  4 F 2.22, 4 H 2.22
Mn (0.0000, 0.5000, 0.5000)  4 F 2.22, 4 H 2.22
Mn (0.5000, 0.0000, 0.5000)  4 F 2.22, 4 H 2.22
Mn (0.5000, 0.5000, 0.0000)  4 F 2.22, 4 H 2.22
H (0.2500, 0.2500, 0.2500)  4 Mn 2.22
H (0.2500, 0.7500, 0.7500)  4 Mn 2.22
H (0.7500, 0.2500, 0.7500)  4 Mn 2.22
H (0.7500, 0.7500, 0.2500)  4 Mn 2.22
F (0.2500, 0.2500, 0.7500)  4 Mn 2.22
F (0.2500, 0.7500, 0.2500)  4 Mn 2.22
F (0.7500, 0.2500, 0.2500)  4 Mn 2.22
F (0.7500, 0.7500, 0.7500)  4 Mn 2.22

Values from the calculation:
* energy above the lowest structure with this stoichiometry: 0.000 eV/atom
* mass density: 3.68 Mg/m³
* space-group type: No. 216


This record from Alexandria via LeMat-Bulk describes a geometry-optimized MnH2F5 structure. The functional is GGA+U.

Lattice parameters (Å, degrees): 4.5321 4.8125 5.4549 81.57 82.46 61.91
With the nearest neighbours (Å) after each atom.
Fractional coordinates of all 8 atoms:
Mn (0.0000, 0.0000, 0.0000)  4 F 1.79-1.95
H (0.3248, 0.3245, 0.0841)  2 F 1.09-1.22
H (0.9978, 0.9946, 0.5034)  2 F 1.13-1.17
F (0.1232, 0.8394, 0.6821)  1 H 1.17
F (0.1840, 0.5851, 0.1624)  1 H 1.22
F (0.4534, 0.0816, 0.0322)  1 H 1.09
F (0.8209, 0.3979, 0.8583)  1 Mn 1.79
F (0.8761, 0.1458, 0.3307)  1 H 1.13

Values from the calculation:
* E_tot: -4.909 eV per atom
* mass density: 2.44 Mg/m³
* space-group type: No. 1


Number 1 is which compound?
MnHF


What is the formula in the first record?
MnHF